The following is a PBE calculation of a relaxed structure of ErGaFe, from Alexandria via LeMat-Bulk.

Cell: 4.246 4.246 3.638 Å, 90.00 90.00 120.00°
Element x y z (fractional)
Er (0.000, 0.000, 0.000)
Ga (0.333, 0.667, 0.500)
Fe (0.667, 0.333, 0.500)

For the density, the calculation gives 8.56 g cm⁻³. The energy comes out at -0.2054 hartree per atom. The value obtained for the energy of formation from the pure elements is -0.24 eV per atom. The total magnetization comes out at 1.8 μB per formula unit. The value obtained for the density of states at the Fermi level is 4.63 states/eV/f.u.